Below is crystalline Er2RhPb at its relaxed geometry, with properties calculated at the PBE level.

Total moment (μB/atom): 0.000
Density (kg/m3): 11391
E above lowest polymorph (eV/atom): 0.173
Density of states at the Fermi level (states/eV/atom): 0.7771

Cell lengths 7.2170, 7.2170, 7.2170 Å; angles 90.00, 90.00, 90.00 degrees
Closest atoms and distances in Å follow each position.
Space group Fm-3m (No. 225)
Symmetry-distinct sites (fractional):
1 Er 0.2500 0.2500 0.2500 (multiplicity 8)  4 Pb 3.13, 4 Rh 3.13
2 Rh 0.0000 0.0000 0.0000 (multiplicity 4)  8 Er 3.13
3 Pb 0.0000 0.0000 0.5000 (multiplicity 4)  8 Er 3.13

Below is crystalline HgP at its relaxed geometry, with properties calculated at the PBE level.

Total moment (μB/atom): 0.000
Density (kg/m3): 7659
E above lowest polymorph (eV/atom): 0.385
Density of states at the Fermi level (states/eV/atom): 0.2654

Cell lengths 7.6499, 4.4224, 2.9799 Å; angles 90.00, 95.14, 90.00 degrees
Closest atoms and distances in Å follow each position.
Space group Cm (No. 8)
Symmetry-distinct sites (fractional):
1 Hg 0.0000 0.0000 0.0000 (multiplicity 2)  3 P 2.55
2 P 0.3337 0.0000 0.0005 (multiplicity 2)  3 Hg 2.55

Below is crystalline MgNiHgS2 at its relaxed geometry, with properties calculated at the PBE level.

Total moment (μB/atom): 0.074
Formation energy (no corrections) (kcal/mol of atoms): 12.69
Density (kg/m3): 5310
Density of states at the Fermi level (states/eV/atom): 0.8862

Cell lengths 4.7189, 4.7189, 4.8831 Å; angles 90.00, 90.00, 90.00 degrees
Closest atoms and distances in Å follow each position.
Space group P4/mmm (No. 123)
Symmetry-distinct sites (fractional):
1 Mg 0.0000 0.0000 0.0000 (multiplicity 1)  4 S 2.36, 2 Ni 2.44
2 Ni 0.0000 0.0000 0.5000 (multiplicity 1)  2 Mg 2.44
3 Hg 0.5000 0.5000 0.5000 (multiplicity 1)  4 Ni 3.34, 8 S 3.40
4 S 0.0000 0.5000 0.0000 (multiplicity 2)  2 Mg 2.36

Below is crystalline Mg3CoPb at its relaxed geometry, with properties calculated at the PBE level.

Total moment (μB/atom): 0.025
Density (kg/m3): 4868
E above lowest polymorph (eV/atom): 0.000
Density of states at the Fermi level (states/eV/atom): 0.6250

Cell lengths 4.8721, 4.8721, 4.8721 Å; angles 90.00, 90.00, 90.00 degrees
Closest atoms and distances in Å follow each position.
Space group Pm-3m (No. 221)
Symmetry-distinct sites (fractional):
1 Mg 0.0000 0.0000 0.5000 (multiplicity 3)  2 Co 2.44
2 Co 0.0000 0.0000 0.0000 (multiplicity 1)  6 Mg 2.44
3 Pb 0.5000 0.5000 0.5000 (multiplicity 1)  12 Mg 3.45